Computed, not measured: NaLa2ScCo after structural relaxation at the PBE level of DFT.

Cell lengths 5.4673, 5.4673, 5.1161 Å; angles 90.00, 90.00, 90.00 degrees
Closest atoms and distances in Å follow each position.
Positions (direct):
La1 0.5000 0.0000 0.0000  2 Co 2.73
Sc1 0.0000 0.0000 0.5000  2 Co 2.56
Co1 0.0000 0.0000 0.0000  2 Sc 2.56, 4 La 2.73
Na1 0.5000 0.5000 0.5000  8 La 3.74, 4 Sc 3.87
La2 0.0000 0.5000 0.0000  2 Co 2.73

Properties
**Space group**: P4/mmm
**Formation enthalpy at 0 K**: 0.02 eV per atom
**ρ**: 4.39 g/cm³



Computed, not measured: NaLa2CoSi after structural relaxation at the PBE level of DFT.

Cell lengths 5.4547, 5.4547, 4.4721 Å; angles 90.00, 90.00, 90.00 degrees
Closest atoms and distances in Å follow each position.
Positions (direct):
Na1 0.5000 0.5000 0.5000  8 La 3.53, 4 Si 3.86
La1 0.5000 0.0000 0.0000  2 Co 2.73
La2 0.0000 0.5000 0.0000  2 Co 2.73
Co1 0.0000 0.0000 0.0000  2 Si 2.24
Si1 0.0000 0.0000 0.5000  2 Co 2.24

Properties
**Raw formation energy**: -0.1954 eV/atom
**Space group**: P4/mmm
**ρ**: 4.84 g/cm³



Computed, not measured: NaLa2CoSn after structural relaxation at the PBE level of DFT.

Cell lengths 5.4051, 5.4051, 4.9966 Å; angles 90.00, 90.00, 90.00 degrees
Closest atoms and distances in Å follow each position.
Positions (direct):
La1 0.5000 0.0000 0.0000  2 Co 2.70
Co1 0.0000 0.0000 0.0000  2 Sn 2.50, 4 La 2.70
La2 0.0000 0.5000 0.0000  2 Co 2.70
Sn1 0.0000 0.0000 0.5000  2 Co 2.50
Na1 0.5000 0.5000 0.5000  8 La 3.68, 4 Sn 3.82

Properties
**Space group**: P4/mmm
**Formation enthalpy at 0 K**: -0.24 eV per atom
**ρ**: 5.44 g/cm³



Computed, not measured: NaSrLa2Co after structural relaxation at the PBE level of DFT.

Cell lengths 5.2842, 5.2842, 6.2531 Å; angles 90.00, 90.00, 90.00 degrees
Closest atoms and distances in Å follow each position.
Positions (direct):
Co1 0.0000 0.0000 0.0000  4 La 2.64
La1 0.5000 0.0000 0.0000  2 Co 2.64
Sr1 0.5000 0.5000 0.5000  4 Na 3.74, 8 La 4.09
Na1 0.0000 0.0000 0.5000  2 Co 3.13
La2 0.0000 0.5000 0.0000  2 Co 2.64

Properties
**Energy relative to the lowest polymorph listed for this composition**: 8.4 kJ/mol of atoms
**Space group**: P4/mmm
**Formation enthalpy at 0 K**: 0.10 eV per atom
**ρ**: 4.25 g/cm³



Computed, not measured: NaSrLa2Co after structural relaxation at the PBE level of DFT.

Cell lengths 5.3433, 5.3433, 6.2559 Å; angles 90.00, 90.00, 90.00 degrees
Closest atoms and distances in Å follow each position.
Positions (direct):
La1 0.5000 0.0000 0.0000  2 Co 2.67
Co1 0.0000 0.0000 0.0000  4 La 2.67
Sr1 0.0000 0.0000 0.5000  2 Co 3.13
La2 0.0000 0.5000 0.0000  2 Co 2.67
Na1 0.5000 0.5000 0.5000  4 Sr 3.78, 8 La 4.11

Properties
**Energy relative to the lowest polymorph listed for this composition**: 0.0 kJ/mol of atoms
**Space group**: P4/mmm
**Formation enthalpy at 0 K**: 0.02 eV per atom
**ρ**: 4.16 g/cm³



Computed, not measured: NaLaTl2Co after structural relaxation at the PBE level of DFT.

Cell lengths 5.2509, 5.2509, 4.9508 Å; angles 90.00, 90.00, 90.00 degrees
Closest atoms and distances in Å follow each position.
Positions (direct):
Tl1 0.5000 0.0000 0.0000  2 Co 2.63
Co1 0.0000 0.0000 0.0000  2 La 2.48, 4 Tl 2.63
Tl2 0.0000 0.5000 0.0000  2 Co 2.63
Na1 0.5000 0.5000 0.5000  8 Tl 3.61, 4 La 3.71
La1 0.0000 0.0000 0.5000  2 Co 2.48

Properties
**Space group**: P4/mmm
**Formation enthalpy at 0 K**: -0.13 eV per atom
**ρ**: 7.66 g/cm³



Number 1: total energy -4.905 eV/atom. Number 2: total energy -4.936 eV/atom. Number 3: total energy -4.697 eV/atom. Number 4: total energy -3.888 eV/atom. Number 5: total energy -3.975 eV/atom. Number 6: total energy -3.749 eV/atom.